The following is a DFT calculation (PBE) of an optimized crystal structure of Er5Cu2Te.

The structure belongs to space group I4/mcm (No. 140); the cell edges are 7.877, 7.877 and 12.611 Å and the angles 90.00°, 90.00° and 90.00°. The asymmetric unit holds Er at (0.000, 0.000, 0.000), Er at (0.153, 0.347, 0.140), Cu at (0.134, 0.366, 0.500) and Te at (0.000, 0.000, 0.250).

Its total energy is -4.63 eV per atom.